## A
Density functional theory data (PBE) for crystalline As2SeBr2 at its relaxed geometry.

Cell lengths 4.499, 4.499, 6.968 Å; angles 71.17, 71.17, 90.00 degrees
Sites, in units of the cell vectors:
As: 0.599 0.599 0.801
As: 0.401 0.401 0.199
Se: 0.000 0.000 0.000
Br: 0.250 0.750 0.500
Br: 0.750 0.250 0.500

crystal system: tetragonal
M_tot: 0.000 μB/atom
density: 5.142 g cm⁻³

***

## B
Density functional theory data (PBE) for crystalline As2SeBr2 at its relaxed geometry.

Cell lengths 7.560, 7.560, 4.886 Å; angles 90.00, 90.00, 90.00 degrees
Sites, in units of the cell vectors:
Br: 0.664 0.836 0.500
Br: 0.836 0.336 0.500
Br: 0.336 0.164 0.500
Br: 0.164 0.664 0.500
Se: 0.000 0.000 0.000
Se: 0.500 0.500 0.000
As: 0.253 0.753 0.000
As: 0.753 0.747 0.000
As: 0.747 0.247 0.000
As: 0.247 0.253 0.000

crystal system: tetragonal
M_tot: 0.000 μB/atom
density: 4.622 g cm⁻³

***

Ranked by calculated energy, most stable first: B, A.